(1)
## ScZnSn3 (PBE)

Data for a relaxed ScZnSn3 crystal.

Values from the calculation:
D(E_F)	6.08	states/eV per cell
offset from the most stable computed form	0.559	eV/f.u.

Structure (CIF):
```
data_ScZnSn3
_cell_length_a 5.544
_cell_length_b 5.544
_cell_length_c 5.544
_cell_angle_alpha 90.00
_cell_angle_beta 90.00
_cell_angle_gamma 90.00
_space_group_name_H-M_alt 'P m -3 m'
_space_group_IT_number 221
_space_group_name_Hall '-P 4 2 3'
loop_
_atom_site_label
_atom_site_type_symbol
_atom_site_fract_x
_atom_site_fract_y
_atom_site_fract_z
_atom_site_occupancy
Sc1 Sc 0.000 0.000 0.000 1
Zn1 Zn 0.500 0.500 0.500 1
Sn1 Sn 0.000 0.000 0.500 1
```



(2)
## Co2Ni3Pt2 (PBE)

Data for a relaxed Co2Ni3Pt2 crystal.

Values from the calculation:
D(E_F)	18.27	states/eV per cell
offset from the most stable computed form	0.483	eV/f.u.

Structure (CIF):
```
data_Co2Ni3Pt2
_cell_length_a 3.872
_cell_length_b 17.369
_cell_length_c 2.620
_cell_angle_alpha 90.00
_cell_angle_beta 90.00
_cell_angle_gamma 90.00
_space_group_name_H-M_alt 'C m m m'
_space_group_IT_number 65
_space_group_name_Hall '-C 2 2'
loop_
_atom_site_label
_atom_site_type_symbol
_atom_site_fract_x
_atom_site_fract_y
_atom_site_fract_z
_atom_site_occupancy
Co1 Co 0.000 0.213 0.000 1
Ni1 Ni 0.000 0.069 0.000 1
Ni2 Ni 0.000 0.500 0.500 1
Pt1 Pt 0.000 0.353 0.500 1
```



(3)
## ZnCd2Os (PBE)

Data for a relaxed ZnCd2Os crystal.

Values from the calculation:
D(E_F)	5.02	states/eV per cell
DFT total energy	-25.04	eV per cell

Structure (CIF):
```
data_ZnCd2Os
_cell_length_a 4.035
_cell_length_b 4.035
_cell_length_c 8.481
_cell_angle_alpha 90.00
_cell_angle_beta 90.00
_cell_angle_gamma 90.00
_space_group_name_H-M_alt 'I -4 m 2'
_space_group_IT_number 119
_space_group_name_Hall 'I -4 -2'
loop_
_atom_site_label
_atom_site_type_symbol
_atom_site_fract_x
_atom_site_fract_y
_atom_site_fract_z
_atom_site_occupancy
Zn1 Zn 0.000 0.000 0.000 1
Cd1 Cd 0.000 0.000 0.500 1
Cd2 Cd 0.000 0.500 0.750 1
Os1 Os 0.000 0.500 0.250 1
```



- D(E_F) of number 3 (ZnCd2Os)?
  5.02 states/eV per cell